Compound: PrMo
Source: OQMD
Functional: PBE
Structure: relaxed

abc: 3.0808 3.0808 5.4955
angles: 90.00 90.00 120.00
Last column: nearest neighbours and their distance in Å.
Positions (direct):
Pr: 0.0000 0.0000 0.0000  6 Pr 3.08, 6 Mo 3.27
Mo: 0.3333 0.6667 0.5000  6 Mo 3.08, 6 Pr 3.27

Calculated volume in A^3/atom: 22.59
Space-group type: P-6m2 (187)
DFT formation energy in meV per atom: 999
Magnetic moment in μB/f.u.: 0.007
Energy above the most stable polymorph in this dataset in kJ per mole of atoms: 0.00

Compound: PrMo
Source: OQMD
Functional: PBE
Structure: relaxed

abc: 4.1884 4.1884 4.1884
angles: 60.00 60.00 60.00
Last column: nearest neighbours and their distance in Å.
Positions (direct):
Pr: 0.0000 0.0000 0.0000  6 Mo 2.96
Mo: 0.5000 0.5000 0.5000  6 Pr 2.96

Calculated volume in A^3/atom: 25.98
Space-group type: Fm-3m (225)
DFT formation energy in meV per atom: 1486
Magnetic moment in μB/f.u.: 1.380
Energy above the most stable polymorph in this dataset in kJ per mole of atoms: 47.06

Compound: PrMo
Source: OQMD
Functional: PBE
Structure: relaxed

abc: 4.6118 4.6118 4.6118
angles: 60.00 60.00 60.00
Last column: nearest neighbours and their distance in Å.
Positions (direct):
Pr: 0.0000 0.0000 0.0000  4 Mo 2.82
Mo: 0.2500 0.2500 0.2500  4 Pr 2.82

Calculated volume in A^3/atom: 34.68
Space-group type: F-43m (216)
DFT formation energy in meV per atom: 2300
Magnetic moment in μB/f.u.: 2.999
Energy above the most stable polymorph in this dataset in kJ per mole of atoms: 125.53

Compound: PrSbMo
Source: OQMD
Functional: PBE
Structure: relaxed

abc: 4.7896 4.7896 4.7896
angles: 60.00 60.00 60.00
Last column: nearest neighbours and their distance in Å.
Positions (direct):
Pr: 0.0000 0.0000 0.0000  4 Mo 2.93
Sb: 0.5000 0.5000 0.5000  4 Mo 2.93
Mo: 0.2500 0.2500 0.2500  4 Sb 2.93, 4 Pr 2.93

Calculated volume in A^3/atom: 25.90
Space-group type: F-43m (216)
Magnetic moment in μB/f.u.: 0.016
Energy above the most stable polymorph in this dataset in kJ per mole of atoms: 0.00

Compound: PrSbMo
Source: OQMD
Functional: PBE
Structure: relaxed

abc: 5.1295 5.1295 5.1295
angles: 60.00 60.00 60.00
Last column: nearest neighbours and their distance in Å.
Positions (direct):
Pr: 0.0000 0.0000 0.0000  4 Mo 3.14, 4 Sb 3.14
Sb: 0.2500 0.2500 0.2500  4 Pr 3.14
Mo: 0.7500 0.7500 0.7500  4 Pr 3.14

Calculated volume in A^3/atom: 31.81
Space-group type: F-43m (216)
Magnetic moment in μB/f.u.: 4.024
Energy above the most stable polymorph in this dataset in kJ per mole of atoms: 62.35

Compound: PrSc2Mo3
Source: OQMD
Functional: PBE
Structure: relaxed

abc: 5.5006 5.5006 4.8621
angles: 90.00 90.00 120.00
Last column: nearest neighbours and their distance in Å.
Positions (direct):
Pr: 0.0000 0.0000 0.0000  6 Sc 3.18
Sc: 0.3333 0.6667 0.0015  6 Mo 2.90-2.91, 3 Pr 3.18, 3 Sc 3.18
Sc: 0.6667 0.3333 0.9985  6 Mo 2.90-2.91, 3 Pr 3.18, 3 Sc 3.18
Mo: 0.0000 0.5000 0.5000  4 Mo 2.75, 4 Sc 2.90-2.91
Mo: 0.5000 0.0000 0.5000  4 Mo 2.75, 4 Sc 2.90-2.91
Mo: 0.5000 0.5000 0.5000  4 Mo 2.75, 4 Sc 2.90-2.91

Calculated volume in A^3/atom: 21.23
Space-group type: P-3m1 (164)
DFT formation energy in meV per atom: 389
Magnetic moment in μB/f.u.: 0.010

Compound: PrSiMo
Source: OQMD
Functional: PBE
Structure: relaxed

abc: 4.5954 4.5954 4.5954
angles: 60.00 60.00 60.00
Last column: nearest neighbours and their distance in Å.
Positions (direct):
Pr: 0.0000 0.0000 0.0000  4 Si 2.81
Si: 0.7500 0.7500 0.7500  4 Mo 2.81, 4 Pr 2.81
Mo: 0.5000 0.5000 0.5000  4 Si 2.81

Calculated volume in A^3/atom: 22.87
Space-group type: F-43m (216)
E_tot in eV/atom: -6.74
Magnetic moment in μB/f.u.: 0.466

Compound: PrSiMo
Source: OQMD
Functional: PBE
Structure: relaxed

abc: 4.8664 4.8664 4.8664
angles: 60.00 60.00 60.00
Last column: nearest neighbours and their distance in Å.
Positions (direct):
Pr: 0.0000 0.0000 0.0000  4 Mo 2.98, 4 Si 2.98
Si: 0.7500 0.7500 0.7500  4 Pr 2.98
Mo: 0.2500 0.2500 0.2500  4 Pr 2.98

Calculated volume in A^3/atom: 27.16
Space-group type: F-43m (216)
E_tot in eV/atom: -5.74
Magnetic moment in μB/f.u.: 3.606

Compound: TbPr4Mo2
Source: OQMD
Functional: PBE
Structure: relaxed

abc: 5.0831 5.0831 7.6609
angles: 90.00 90.00 90.00
Last column: nearest neighbours and their distance in Å.
Positions (direct):
Tb: 0.0000 0.0000 0.0000  8 Pr 3.30, 4 Mo 3.59
Pr: 0.0000 0.5000 0.2748  4 Mo 3.07-3.30, 2 Tb 3.30
Pr: 0.0000 0.5000 0.7252  4 Mo 3.07-3.30, 2 Tb 3.30
Pr: 0.5000 0.0000 0.2748  4 Mo 3.07-3.30, 2 Tb 3.30
Pr: 0.5000 0.0000 0.7252  4 Mo 3.07-3.30, 2 Tb 3.30
Mo: 0.0000 0.0000 0.5000  8 Pr 3.07
Mo: 0.5000 0.5000 0.0000  8 Pr 3.30, 4 Tb 3.59

Calculated volume in A^3/atom: 28.28
Space-group type: P4/mmm (123)
DFT formation energy in meV per atom: 486
Magnetic moment in μB/f.u.: 0.178

Compound: PrTmMo
Source: OQMD
Functional: PBE
Structure: relaxed

abc: 4.9488 4.9488 4.9488
angles: 60.00 60.00 60.00
Last column: nearest neighbours and their distance in Å.
Positions (direct):
Pr: 0.0000 0.0000 0.0000  4 Tm 3.03
Tm: 0.7500 0.7500 0.7500  4 Mo 3.03, 4 Pr 3.03
Mo: 0.5000 0.5000 0.5000  4 Tm 3.03

Calculated volume in A^3/atom: 28.57
Space-group type: F-43m (216)
DFT formation energy in meV per atom: 1198
Magnetic moment in μB/f.u.: 1.788

Compound: RbMoPt
Source: OQMD
Functional: PBE
Structure: relaxed

abc: 5.0077 5.0077 5.0077
angles: 60.00 60.00 60.00
Last column: nearest neighbours and their distance in Å.
Positions (direct):
Rb: 0.0000 0.0000 0.0000  4 Mo 3.07, 4 Pt 3.07
Mo: 0.7500 0.7500 0.7500  4 Rb 3.07
Pt: 0.2500 0.2500 0.2500  4 Rb 3.07

Calculated volume in A^3/atom: 29.60
Space-group type: F-43m (216)
Magnetic moment in μB/f.u.: 4.993
Energy above the most stable polymorph in this dataset in kJ per mole of atoms: 64.84

Compound: RbMoPt
Source: OQMD
Functional: PBE
Structure: relaxed

abc: 4.9025 4.9025 4.9025
angles: 60.00 60.00 60.00
Last column: nearest neighbours and their distance in Å.
Positions (direct):
Rb: 0.0000 0.0000 0.0000  4 Pt 3.00
Mo: 0.5000 0.5000 0.5000  4 Pt 3.00
Pt: 0.7500 0.7500 0.7500  4 Mo 3.00, 4 Rb 3.00

Calculated volume in A^3/atom: 27.77
Space-group type: F-43m (216)
Magnetic moment in μB/f.u.: 4.410
Energy above the most stable polymorph in this dataset in kJ per mole of atoms: 0.00